# PBE Hf2Re2O5, optimized geometry
# Magnetic moment ... 2.0 μB/cell
# Calculated density ... 12.6 g cm⁻³
# E ... -9.195 eV/atom
# Volume ... 11.875 A^3/atom
data_Hf2Re2O5
_chemical_formula_sum 'Hf2 Re2 O5'
_space_group_name_H-M_alt 'P 4/m m m'
_space_group_IT_number 123
_space_group_name_Hall '-P 4 2'
_cell_length_a 3.458
_cell_length_b 3.458
_cell_length_c 8.939
_cell_angle_alpha 90.00
_cell_angle_beta 90.00
_cell_angle_gamma 90.00
loop_
_atom_site_label
_atom_site_type_symbol
_atom_site_fract_x
_atom_site_fract_y
_atom_site_fract_z
_atom_site_occupancy
Hf1 Hf 0.000 0.000 0.228 1
Re1 Re 0.500 0.500 0.000 1
Re2 Re 0.500 0.500 0.500 1
O1 O 0.000 0.000 0.000 1
O2 O 0.000 0.500 0.366 1